#1
Sm6TmSc2 PBE relaxed; total magnetic moment = 0.00 μB per atom
1.0
6.242 0.808 0.783
2.908 9.931 0.152
2.908 0.474 9.921
Sm Tm Sc
12 2 4
direct
0.254 0.840 0.939
0.203 0.005 0.571
0.297 0.429 0.995
0.703 0.571 0.005
0.415 0.671 0.429
0.585 0.329 0.571
0.085 0.571 0.329
0.246 0.061 0.160
0.797 0.995 0.429
0.746 0.160 0.061
0.915 0.429 0.671
0.754 0.939 0.840
0.750 0.822 0.178
0.250 0.178 0.822
0.318 0.253 0.364
0.682 0.747 0.636
0.182 0.636 0.747
0.818 0.364 0.253

#2
Sm6TmSc2 PBE relaxed; total magnetic moment = 0.00 μB per atom
1.0
3.582 0.000 0.001
0.001 8.878 4.073
-0.001 1.649 9.628
Sm Tm Sc
6 1 2
direct
0.500 0.317 0.683
0.000 0.513 0.155
0.000 0.487 0.845
0.500 0.683 0.317
0.000 0.155 0.513
0.000 0.845 0.487
0.000 0.000 0.000
0.500 0.822 0.822
0.500 0.178 0.178

Which of them is most stable, and which least? Most stable: #2; least stable: #1.

#1
Sm3TmSc PBE relaxed; total magnetic moment = 0.00 μB per atom
1.0
-2.312 2.078 1.609
4.336 -7.441 4.420
7.587 9.290 -1.099
Sm Sc Tm
6 2 2
direct
0.780 0.354 0.050
0.869 0.079 0.153
0.013 0.842 0.550
0.987 0.158 0.450
0.220 0.646 0.950
0.131 0.921 0.847
0.055 0.538 0.647
0.945 0.462 0.353
0.126 0.251 0.761
0.874 0.749 0.239

#2
Sm3TmSc PBE relaxed; total magnetic moment = 0.00 μB per atom
1.0
3.505 0.000 0.000
0.000 10.595 0.000
0.000 0.000 17.296
Sc Sm Tm
4 12 4
direct
0.755 0.250 0.228
0.245 0.750 0.772
0.245 0.250 0.728
0.755 0.750 0.272
0.248 0.940 0.923
0.248 0.440 0.577
0.248 0.560 0.923
0.752 0.440 0.077
0.254 0.000 0.250
0.746 0.000 0.750
0.752 0.560 0.423
0.254 0.500 0.250
0.752 0.940 0.423
0.248 0.060 0.577
0.746 0.500 0.750
0.752 0.060 0.077
0.745 0.250 0.896
0.255 0.250 0.396
0.745 0.750 0.604
0.255 0.750 0.104

Which of them is most stable, and which least? Most stable: #1; least stable: #2.

#1
Sm3Tm4Sc PBE relaxed; total magnetic moment = 0.00 μB per atom
1.0
-3.451 -0.030 0.087
-0.312 0.209 -11.465
1.768 -6.413 5.573
Tm Sm Sc
4 3 1
direct
0.350 0.624 0.732
0.650 0.892 0.268
0.650 0.376 0.268
0.350 0.108 0.732
0.243 0.241 0.481
0.757 0.759 0.519
0.000 0.500 0.000
0.500 0.000 0.000

#2
Sm3Tm4Sc PBE relaxed; total magnetic moment = 0.00 μB per atom
1.0
6.188 0.000 0.000
0.000 7.190 0.000
0.000 0.000 11.156
Sc Tm Sm
2 8 6
direct
0.645 0.630 0.500
0.145 0.370 0.000
0.647 0.123 0.000
0.150 0.877 0.000
0.650 0.123 0.500
0.984 0.124 0.755
0.147 0.877 0.500
0.484 0.876 0.255
0.484 0.876 0.745
0.984 0.124 0.245
0.480 0.376 0.750
0.980 0.624 0.250
0.480 0.376 0.250
0.147 0.373 0.500
0.647 0.627 0.000
0.980 0.624 0.750

Which of them is most stable, and which least? Most stable: #2; least stable: #1.

#1
SmTm6Sc PBE relaxed; total magnetic moment = 0.00 μB per atom
1.0
-3.642 -2.351 2.286
4.502 -2.360 4.746
-1.176 5.627 3.914
Tm Sc Sm
6 1 1
direct
0.000 0.746 0.254
0.000 0.254 0.746
0.000 0.254 0.254
0.500 0.000 0.500
0.500 0.500 0.000
0.000 0.746 0.746
0.500 0.500 0.500
0.500 0.000 0.000

#2
SmTm6Sc PBE relaxed; total magnetic moment = 0.00 μB per atom
1.0
-2.885 -4.636 -3.663
6.455 -0.110 1.249
-4.766 1.297 7.866
Tm Sm Sc
6 1 1
direct
0.336 0.794 0.756
0.771 0.771 0.247
0.229 0.229 0.753
0.794 0.336 0.756
0.206 0.664 0.244
0.664 0.206 0.244
0.500 0.500 0.500
0.000 0.000 0.000

Which of them is most stable, and which least? Most stable: #1; least stable: #2.